Computed, not measured: an optimized crystal structure of Pa2FeCoO8 at the GGA+U level of DFT.

abc: 5.185 5.185 6.604
angles: 113.11 113.11 90.00
Site moments in Bohr magnetons follow the coordinates.
Positions (direct):
Pa 0.500 0.500 0.000  0.13
Pa 0.250 0.750 0.500  0.13
Fe 0.000 0.000 0.000  4.30
Co 0.750 0.250 0.500  3.04
O 0.845 0.900 0.336  0.16
O 0.491 0.436 0.336  0.16
O 0.642 0.739 0.834  0.11
O 0.192 0.095 0.834  0.11
O 0.905 0.358 0.166  0.11
O 0.261 0.808 0.166  0.11
O 0.100 0.509 0.664  0.16
O 0.564 0.155 0.664  0.16

## Properties
crystal system: tetragonal
VASP energy: -8.345 eV/atom
SG: No. 82